1.
The following is a PBE-GGA calculation of Ca2CdPd2 after structural relaxation, from the Alexandria database.

Calculated values
The value obtained for the total magnetic moment is 0.00 Bohr magnetons per cell. The calculation puts the formation energy at -652 meV/atom. For the total energy, the calculation gives -0.273 Ry/atom.

Unit cell a=5.849 b=5.849 c=8.346 alpha=104.01 beta=104.01 gamma=57.70
Fractional positions:
Ca  0.001  0.701  0.851
Ca  0.299  0.999  0.649
Ca  0.701  0.001  0.351
Ca  0.999  0.299  0.149
Cd  0.340  0.660  0.250
Cd  0.660  0.340  0.750
Pd  0.224  0.507  0.494
Pd  0.493  0.776  0.006
Pd  0.507  0.224  0.994
Pd  0.776  0.493  0.506

=====

2.
The following is a PBE-GGA calculation of Ce3GaSi4 after structural relaxation, from the Alexandria database.

Calculated values
The uncorrected formation energy is -0.436 eV per atom. The value obtained for the total magnetic moment is 0.55 Bohr magnetons per cell. For the total energy, the calculation gives -0.423 Ry/atom.

Unit cell a=8.143 b=8.143 c=8.143 alpha=149.23 beta=137.19 gamma=53.65
Fractional positions:
Ce  0.000  0.000  0.000
Ce  0.315  0.815  0.500
Ce  0.685  0.185  0.500
Ga  0.500  0.500  0.000
Si  0.074  0.375  0.699
Si  0.324  0.625  0.699
Si  0.676  0.375  0.301
Si  0.926  0.625  0.301

=====

3.
The following is a PBE-GGA calculation of Cr2NiOs after structural relaxation, from the Alexandria database.

Calculated values
The value obtained for the total magnetic moment is 0.00 Bohr magnetons per cell. The calculation puts the formation energy at 126 meV/atom. For the total energy, the calculation gives -0.657 Ry/atom.

Unit cell a=4.445 b=4.445 c=4.457 alpha=100.99 beta=100.99 gamma=34.82
Fractional positions:
Cr  0.000  0.000  0.000
Cr  0.746  0.746  0.262
Ni  0.252  0.252  0.776
Os  0.498  0.498  0.505

=====

4.
The following is a PBE-GGA calculation of CrSiTcW after structural relaxation, from the Alexandria database.

Calculated values
The uncorrected formation energy is -0.151 eV per atom. The value obtained for the total magnetic moment is 0.02 Bohr magnetons per cell. For the total energy, the calculation gives -0.716 Ry/atom.

Unit cell a=4.256 b=4.256 c=4.256 alpha=60.00 beta=60.00 gamma=60.00
Fractional positions:
Cr  0.000  0.000  0.000
Si  0.750  0.750  0.750
Tc  0.500  0.500  0.500
W  0.250  0.250  0.250